Entry 1:
A plane-wave DFT calculation with PBE was carried out for an optimized crystal structure of SmLuAl.

a b c (Å): 7.176 7.176 7.176
angles (deg): 90.00 90.00 90.00
Space group F-43m (No. 216)
Unique sites:
Sm  0.000  0.000  0.000 (multiplicity 4)
Lu  0.250  0.250  0.250 (multiplicity 4)
Al  0.250  0.250  0.750 (multiplicity 4)

Summary:
total magnetic moment: 0.01 μB per cell
uncorrected energy: -3.828 eV/atom
crystal system: cubic
mass density: 6.33 g/cm³

---

Entry 2:
A plane-wave DFT calculation with PBE was carried out for an optimized crystal structure of ZrCu2Se2S.

a b c (Å): 18.926 3.825 6.718
angles (deg): 90.00 95.81 90.00
Space group C2/m (No. 12)
Unique sites:
Zr  0.153  0.000  0.046 (multiplicity 4)
Cu  0.046  0.500  0.159 (multiplicity 4)
Cu  0.208  0.000  0.455 (multiplicity 4)
Se  0.083  0.000  0.361 (multiplicity 4)
Se  0.086  0.500  0.824 (multiplicity 4)
S  0.244  0.500  0.219 (multiplicity 4)

Summary:
total magnetic moment: 0.01 μB per cell
energy above the lowest structure with this stoichiometry: 0.14 eV/f.u.
crystal system: monoclinic
mass density: 5.60 g/cm³

---

Entry 3:
A plane-wave DFT calculation with PBE was carried out for an optimized crystal structure of DyNi4Te3.

a b c (Å): 5.572 3.848 6.896
angles (deg): 90.00 102.60 90.00
Space group Pm (No. 6)
Unique sites:
Dy  0.000  0.000  0.000 (multiplicity 1)
Ni  0.156  0.500  0.721 (multiplicity 1)
Ni  0.480  0.000  0.784 (multiplicity 1)
Ni  0.572  0.000  0.347 (multiplicity 1)
Ni  0.879  0.500  0.323 (multiplicity 1)
Te  0.156  0.000  0.450 (multiplicity 1)
Te  0.485  0.500  0.064 (multiplicity 1)
Te  0.699  0.500  0.639 (multiplicity 1)

Summary:
total magnetic moment: 0.00 μB per cell
uncorrected energy: -4.899 eV/atom
crystal system: monoclinic
mass density: 8.98 g/cm³

---

Entry 4:
A plane-wave DFT calculation with PBE was carried out for an optimized crystal structure of Nd6CdFe13.

a b c (Å): 8.003 8.003 23.327
angles (deg): 90.00 90.00 90.00
Space group I4/mcm (No. 140)
Unique sites:
Nd  0.000  0.000  0.105 (multiplicity 8)
Nd  0.162  0.338  0.185 (multiplicity 16)
Cd  0.000  0.000  0.250 (multiplicity 4)
Fe  0.000  0.500  0.000 (multiplicity 4)
Fe  0.067  0.210  0.500 (multiplicity 16)
Fe  0.114  0.386  0.406 (multiplicity 16)
Fe  0.179  0.321  0.059 (multiplicity 16)

Summary:
total magnetic moment: 103.76 μB per cell
E_form: -0.477 eV per formula unit
crystal system: tetragonal
mass density: 7.58 g/cm³

---

Entry 5:
A plane-wave DFT calculation with PBE was carried out for an optimized crystal structure of HgPbSeO.

a b c (Å): 3.913 13.753 6.436
angles (deg): 90.00 90.00 90.00
Space group Cmcm (No. 63)
Unique sites:
Hg  0.000  0.133  0.250 (multiplicity 4)
Pb  0.000  0.430  0.250 (multiplicity 4)
Se  0.000  0.240  0.750 (multiplicity 4)
O  0.000  0.000  0.000 (multiplicity 4)

Summary:
energy above the lowest structure with this stoichiometry: 0.91 eV/f.u.
crystal system: orthorhombic
mass density: 9.64 g/cm³

---

Entry 6:
A plane-wave DFT calculation with PBE was carried out for an optimized crystal structure of LiZr.

a b c (Å): 7.710 4.539 4.523
angles (deg): 90.00 90.00 90.00
Space group Pbcm (No. 57)
Unique sites:
Li  0.087  0.001  0.250 (multiplicity 4)
Zr  0.367  0.000  0.750 (multiplicity 4)

Summary:
total magnetic moment: 0.00 μB per cell
energy above the lowest structure with this stoichiometry: 0.00 eV/f.u.
crystal system: orthorhombic
mass density: 4.12 g/cm³

---

Entry 7:
A plane-wave DFT calculation with PBE was carried out for an optimized crystal structure of RbPaSi.

a b c (Å): 7.358 7.358 7.358
angles (deg): 90.00 90.00 90.00
Space group F-43m (No. 216)
Unique sites:
Rb  0.000  0.000  0.000 (multiplicity 4)
Pa  0.000  0.000  0.500 (multiplicity 4)
Si  0.250  0.250  0.750 (multiplicity 4)

Summary:
total magnetic moment: 8.00 μB per cell
energy above the lowest structure with this stoichiometry: 0.00 eV/f.u.
crystal system: cubic
mass density: 5.74 g/cm³

---

Entry 8:
A plane-wave DFT calculation with PBE was carried out for an optimized crystal structure of NbCdFeSi.

a b c (Å): 6.300 6.300 6.300
angles (deg): 90.00 90.00 90.00
Space group F-43m (No. 216)
Unique sites:
Nb  0.000  0.000  0.000 (multiplicity 4)
Cd  0.250  0.250  0.750 (multiplicity 4)
Fe  0.000  0.000  0.500 (multiplicity 4)
Si  0.250  0.250  0.250 (multiplicity 4)

Summary:
total magnetic moment: 8.25 μB per cell
energy above the lowest structure with this stoichiometry: 0.00 eV/f.u.
crystal system: cubic
mass density: 7.68 g/cm³

---

Entry 9:
A plane-wave DFT calculation with PBE was carried out for an optimized crystal structure of YTaCoAs.

a b c (Å): 6.512 6.512 6.512
angles (deg): 90.00 90.00 90.00
Space group F-43m (No. 216)
Unique sites:
Y  0.000  0.000  0.000 (multiplicity 4)
Ta  0.250  0.250  0.250 (multiplicity 4)
Co  0.250  0.250  0.750 (multiplicity 4)
As  0.000  0.000  0.500 (multiplicity 4)

Summary:
total magnetic moment: 3.06 μB per cell
energy above the lowest structure with this stoichiometry: 0.00 eV/f.u.
crystal system: cubic
mass density: 9.71 g/cm³

---

Entry 10:
A plane-wave DFT calculation with PBE was carried out for an optimized crystal structure of AcUTc.

a b c (Å): 6.751 6.751 6.751
angles (deg): 90.00 90.00 90.00
Space group F-43m (No. 216)
Unique sites:
Ac  0.000  0.000  0.000 (multiplicity 4)
U  0.250  0.250  0.250 (multiplicity 4)
Tc  0.000  0.000  0.500 (multiplicity 4)

Summary:
total magnetic moment: 4.30 μB per cell
E_form: 3.319 eV per formula unit
crystal system: cubic
mass density: 12.16 g/cm³

---

Entry 11:
A plane-wave DFT calculation with PBE was carried out for an optimized crystal structure of ScB2Mo.

a b c (Å): 5.754 5.754 5.754
angles (deg): 90.00 90.00 90.00
Space group F-43m (No. 216)
Unique sites:
Sc  0.000  0.000  0.000 (multiplicity 4)
B  0.000  0.000  0.500 (multiplicity 4)
B  0.250  0.250  0.250 (multiplicity 4)
Mo  0.250  0.250  0.750 (multiplicity 4)

Summary:
total magnetic moment: 0.03 μB per cell
uncorrected energy: -6.514 eV/atom
crystal system: cubic
mass density: 5.67 g/cm³

---

Entry 12:
A plane-wave DFT calculation with PBE was carried out for an optimized crystal structure of Zr2O3.

a b c (Å): 5.580 7.583 5.957
angles (deg): 90.00 90.00 90.00
Space group Pnma (No. 62)
Unique sites:
Zr  0.000  0.000  0.000 (multiplicity 4)
Zr  0.018  0.250  0.461 (multiplicity 4)
O  0.145  0.051  0.673 (multiplicity 8)
O  0.150  0.250  0.122 (multiplicity 4)

Summary:
total magnetic moment: 0.05 μB per cell
uncorrected energy: -9.133 eV/atom
crystal system: orthorhombic
mass density: 6.07 g/cm³

---

Entry 13:
A plane-wave DFT calculation with PBE was carried out for an optimized crystal structure of ErTm2Fe9.

a b c (Å): 5.0170 5.0170 23.9255
angles (deg): 90.00 90.00 120.00
Space group R-3m (No. 166, hexagonal axes)
Unique sites:
Er  0.0000  0.0000  0.0000 (multiplicity 3)
Tm  0.0000  0.0000  0.1420 (multiplicity 6)
Fe  0.0000  0.0000  0.3329 (multiplicity 6)
Fe  0.0000  0.0000  0.5000 (multiplicity 3)
Fe  0.0006  0.5003  0.9180 (multiplicity 18)

Summary:
total magnetic moment: 46.75 μB per cell
E_form: -1.330 eV per formula unit
crystal system: trigonal
mass density: 9.63 g/cm³

---

Entry 14:
A plane-wave DFT calculation with PBE was carried out for an optimized crystal structure of YNb6Ge2.

a b c (Å): 7.528 4.788 10.386
angles (deg): 90.00 106.31 90.00
Space group C2/m (No. 12)
Unique sites:
Y  0.000  0.000  0.000 (multiplicity 2)
Nb  0.055  0.500  0.173 (multiplicity 4)
Nb  0.056  0.000  0.662 (multiplicity 4)
Nb  0.147  0.500  0.445 (multiplicity 4)
Ge  0.238  0.500  0.722 (multiplicity 4)

Summary:
total magnetic moment: 0.01 μB per cell
uncorrected energy: -8.421 eV/atom
crystal system: monoclinic
mass density: 7.32 g/cm³

---

Entry 15:
A plane-wave DFT calculation with PBE was carried out for an optimized crystal structure of Pt8F.

a b c (Å): 8.7859 8.7859 2.6235
angles (deg): 90.00 90.00 120.00
Space group P6/mmm (No. 191)
Unique sites:
Pt  0.1685  0.3369  0.0000 (multiplicity 6)
Pt  0.3333  0.6667  0.0000 (multiplicity 2)
F  0.0000  0.0000  0.5000 (multiplicity 1)

Summary:
total magnetic moment: 0.01 μB per cell
uncorrected energy: -5.092 eV/atom
crystal system: hexagonal
mass density: 14.96 g/cm³

---

Entry 16:
A plane-wave DFT calculation with PBE was carried out for an optimized crystal structure of DyHo2Al3AgGe2.

a b c (Å): 4.277 12.197 7.030
angles (deg): 90.00 90.00 90.00
Space group Amm2 (No. 38)
Unique sites:
Dy  0.000  0.000  0.000 (multiplicity 2)
Ho  0.000  0.208  0.378 (multiplicity 4)
Al  0.500  0.000  0.346 (multiplicity 2)
Al  0.500  0.119  0.705 (multiplicity 4)
Ag  0.000  0.000  0.584 (multiplicity 2)
Ge  0.500  0.167  0.085 (multiplicity 4)

Summary:
total magnetic moment: 0.00 μB per cell
uncorrected energy: -4.732 eV/atom
crystal system: orthorhombic
mass density: 7.48 g/cm³

---

Entry 17:
A plane-wave DFT calculation with PBE was carried out for an optimized crystal structure of AlInAu.

a b c (Å): 4.501 4.501 6.373
angles (deg): 90.00 90.00 90.00
Space group P4_2/mmc (No. 131)
Unique sites:
Al  0.000  0.000  0.250 (multiplicity 2)
In  0.500  0.500  0.250 (multiplicity 2)
Au  0.000  0.500  0.000 (multiplicity 2)

Summary:
uncorrected energy: -3.482 eV/atom
crystal system: tetragonal
mass density: 8.72 g/cm³

---

Entry 18:
A plane-wave DFT calculation with PBE was carried out for an optimized crystal structure of Sr2TaIrN2O4.

a b c (Å): 5.643 5.665 7.943
angles (deg): 90.15 90.21 90.11
Space group P1 (No. 1)
Unique sites:
Sr  0.000  0.000  0.000 (multiplicity 1)
Sr  0.010  0.000  0.502 (multiplicity 1)
Sr  0.489  0.526  0.003 (multiplicity 1)
Sr  0.503  0.527  0.506 (multiplicity 1)
Ta  0.498  0.032  0.754 (multiplicity 1)
Ta  0.996  0.503  0.257 (multiplicity 1)
Ir  0.513  0.023  0.252 (multiplicity 1)
Ir  0.997  0.493  0.744 (multiplicity 1)
N  0.001  0.486  0.504 (multiplicity 1)
N  0.239  0.257  0.766 (multiplicity 1)
N  0.740  0.281  0.769 (multiplicity 1)
N  0.742  0.270  0.241 (multiplicity 1)
O  0.006  0.551  0.001 (multiplicity 1)
O  0.246  0.253  0.229 (multiplicity 1)
O  0.267  0.751  0.738 (multiplicity 1)
O  0.269  0.750  0.266 (multiplicity 1)
O  0.499  0.042  0.501 (multiplicity 1)
O  0.506  0.972  0.003 (multiplicity 1)
O  0.764  0.780  0.732 (multiplicity 1)
O  0.772  0.781  0.265 (multiplicity 1)

Summary:
total magnetic moment: 0.05 μB per cell
energy above the lowest structure with this stoichiometry: 0.08 eV/f.u.
crystal system: triclinic
mass density: 8.38 g/cm³

---

Entry 19:
A plane-wave DFT calculation with PBE was carried out for an optimized crystal structure of ZrTlCuRe.

a b c (Å): 6.623 6.623 6.623
angles (deg): 90.00 90.00 90.00
Space group F-43m (No. 216)
Unique sites:
Zr  0.000  0.000  0.000 (multiplicity 4)
Tl  0.250  0.250  0.250 (multiplicity 4)
Cu  0.000  0.000  0.500 (multiplicity 4)
Re  0.250  0.250  0.750 (multiplicity 4)

Summary:
total magnetic moment: 0.00 μB per cell
energy above the lowest structure with this stoichiometry: 0.52 eV/f.u.
crystal system: cubic
mass density: 12.47 g/cm³

---

Entry 20:
A plane-wave DFT calculation with PBE was carried out for an optimized crystal structure of LuFe2Mo.

a b c (Å): 6.214 6.214 6.214
angles (deg): 90.00 90.00 90.00
Space group F-43m (No. 216)
Unique sites:
Lu  0.000  0.000  0.000 (multiplicity 4)
Fe  0.000  0.000  0.500 (multiplicity 4)
Fe  0.250  0.250  0.750 (multiplicity 4)
Mo  0.250  0.250  0.250 (multiplicity 4)

Summary:
total magnetic moment: 11.94 μB per cell
E_form: 1.276 eV per formula unit
crystal system: cubic
mass density: 10.59 g/cm³